Record 1
Compound: FeBi2Pt
Source: Alexandria via LeMat-Bulk
Functional: PBE
Structure: optimized geometry

Computed properties:
Its energy relative to the elements is 6.65 kcal/mol of atoms. The value obtained for the total magnetization is 10.75 Bohr magnetons per cell. The calculation puts the density of states at the Fermi level at 0.73 states/eV/atom.

Cell: 6.9897 6.9897 6.9897 Å, 90.00 90.00 90.00°
Last column: nearest neighbours and their distance in Å.
Space group Fm-3m (No. 225)
Unique sites:
Fe 0.0000 0.0000 0.0000 [4 per cell]  8 Bi 3.03
Bi 0.2500 0.2500 0.2500 [8 per cell]  4 Fe 3.03, 4 Pt 3.03
Pt 0.0000 0.0000 0.5000 [4 per cell]  8 Bi 3.03

=====

Record 2
Compound: FeBiPt
Source: Alexandria via LeMat-Bulk
Functional: PBE
Structure: optimized geometry

Computed properties:
Its energy relative to the elements is 5.74 kcal/mol of atoms. The value obtained for the total magnetization is 12.14 Bohr magnetons per cell. The calculation puts the density of states at the Fermi level at 0.81 states/eV/atom.

Cell: 9.0264 4.0025 7.1368 Å, 90.00 90.00 90.00°
Last column: nearest neighbours and their distance in Å.
Space group Amm2 (No. 38)
Unique sites:
Fe 0.1273 0.0000 0.0000 [4 per cell]  1 Fe 2.30
Bi 0.3168 0.0000 0.3246 [4 per cell]  4 Pt 2.86-2.88, 3 Fe 2.88-2.92
Pt 0.0000 0.0000 0.3295 [2 per cell]  6 Fe 2.61-2.62, 2 Bi 2.86
Pt 0.5000 0.0000 0.9937 [2 per cell]  6 Bi 2.86-2.88

=====

Record 3
Compound: FeBi2Pt2
Source: Alexandria via LeMat-Bulk
Functional: PBE
Structure: optimized geometry

Computed properties:
Its energy relative to the elements is 2.34 kcal/mol of atoms. The value obtained for the total magnetization is 7.07 Bohr magnetons per cell. The calculation puts the density of states at the Fermi level at 0.96 states/eV/atom.

Cell: 6.9315 6.9315 4.4024 Å, 90.00 90.00 90.00°
Last column: nearest neighbours and their distance in Å.
Space group P4/mbm (No. 127)
Unique sites:
Fe 0.0000 0.0000 0.0000 [2 per cell]  4 Pt 2.67
Bi 0.1720 0.3280 0.5000 [4 per cell]  6 Pt 2.85-3.11
Pt 0.1428 0.6428 0.0000 [4 per cell]  2 Fe 2.67, 1 Pt 2.80, 2 Bi 2.85